(1)
First-principles (PBE) data for a geometry-optimized PuBPbO5 structure, as listed in the Alexandria database.

Summary:
* E: -8.3296 eV/atom
* DOS at the Fermi energy: 0.805 states/eV/atom
* size of the total moment: 3.00 μB/f.u.
* V: 13.7 Å³/atom

a = 5.681 Å, b = 5.681 Å, c = 7.710 Å
α = 103.90°, β = 103.90°, γ = 105.84°
Sites, in units of the cell vectors:
Pu 0.000 0.000 0.000
Pu 0.000 0.000 0.500
B 0.312 0.688 0.750
B 0.688 0.312 0.250
Pb 0.352 0.648 0.250
Pb 0.648 0.352 0.750
O 0.079 0.921 0.250
O 0.130 0.698 0.865
O 0.241 0.417 0.617
O 0.302 0.870 0.635
O 0.417 0.241 0.117
O 0.583 0.759 0.883
O 0.698 0.130 0.365
O 0.759 0.583 0.383
O 0.870 0.302 0.135
O 0.921 0.079 0.750

(2)
First-principles (PBE) data for a geometry-optimized PuBPbO6 structure, as listed in the Alexandria database.

Summary:
* E: -8.0650 eV/atom
* size of the total moment: 1.00 μB/f.u.
* V: 17.1 Å³/atom

a = 5.456 Å, b = 5.697 Å, c = 5.794 Å
α = 119.15°, β = 91.14°, γ = 99.55°
Sites, in units of the cell vectors:
Pu 0.000 0.000 0.000
B 0.879 0.387 0.459
Pb 0.474 0.772 0.441
O 0.117 0.414 0.378
O 0.132 0.828 0.154
O 0.295 0.013 0.819
O 0.730 0.125 0.300
O 0.788 0.601 0.653
O 0.848 0.161 0.849

(3)
First-principles (PBE) data for a geometry-optimized PuBPb2O6 structure, as listed in the Alexandria database.

Summary:
* E: -7.4530 eV/atom
* DOS at the Fermi energy: 0.443 states/eV/atom
* size of the total moment: 3.00 μB/f.u.
* V: 14.6 Å³/atom

a = 6.244 Å, b = 6.244 Å, c = 5.811 Å
α = 117.59°, β = 117.59°, γ = 48.30°
Sites, in units of the cell vectors:
Pu 0.000 0.000 0.000
B 0.500 0.500 0.500
Pb 0.182 0.182 0.682
Pb 0.818 0.818 0.318
O 0.200 0.200 0.198
O 0.281 0.718 0.693
O 0.282 0.719 0.307
O 0.718 0.281 0.693
O 0.719 0.282 0.307
O 0.800 0.800 0.802

(4)
First-principles (PBE) data for a geometry-optimized Rb2B2PbO6 structure, as listed in the Alexandria database.

Summary:
* E: -6.2554 eV/atom
* DOS at the Fermi energy: 0.034 states/eV/atom
* size of the total moment: 0.00 μB/f.u.
* V: 15.0 Å³/atom

a = 5.415 Å, b = 5.415 Å, c = 7.170 Å
α = 111.35°, β = 111.35°, γ = 59.84°
Sites, in units of the cell vectors:
Rb 0.206 0.206 0.123
Rb 0.794 0.794 0.877
B 0.401 0.401 0.692
B 0.599 0.599 0.308
Pb 0.000 0.000 0.500
O 0.255 0.255 0.696
O 0.261 0.705 0.712
O 0.295 0.739 0.288
O 0.705 0.261 0.712
O 0.739 0.295 0.288
O 0.745 0.745 0.304

(5)
First-principles (PBE) data for a geometry-optimized RbB2Pb2O6 structure, as listed in the Alexandria database.

Summary:
* E: -6.3937 eV/atom
* DOS at the Fermi energy: 0.327 states/eV/atom
* size of the total moment: 0.00 μB/f.u.
* V: 16.7 Å³/atom

a = 5.696 Å, b = 6.216 Å, c = 6.306 Å
α = 97.29°, β = 115.57°, γ = 107.02°
Sites, in units of the cell vectors:
Rb 0.000 0.000 0.000
B 0.278 0.724 0.713
B 0.722 0.276 0.287
Pb 0.385 0.295 0.680
Pb 0.615 0.705 0.320
O 0.129 0.862 0.622
O 0.254 0.616 0.886
O 0.459 0.684 0.630
O 0.541 0.316 0.370
O 0.746 0.384 0.114
O 0.871 0.138 0.378

(6)
First-principles (PBE) data for a geometry-optimized Rb3B2PbO6 structure, as listed in the Alexandria database.

Summary:
* E: -5.9738 eV/atom
* DOS at the Fermi energy: 0.223 states/eV/atom
* size of the total moment: 0.00 μB/f.u.
* V: 17.4 Å³/atom

a = 5.740 Å, b = 5.740 Å, c = 7.329 Å
α = 90.00°, β = 90.00°, γ = 120.00°
Sites, in units of the cell vectors:
Rb 0.000 0.000 0.000
Rb 0.333 0.667 0.747
Rb 0.667 0.333 0.253
B 0.333 0.667 0.304
B 0.667 0.333 0.696
Pb 0.000 0.000 0.500
O 0.192 0.385 0.296
O 0.192 0.808 0.296
O 0.385 0.192 0.704
O 0.615 0.808 0.296
O 0.808 0.192 0.704
O 0.808 0.615 0.704

(7)
First-principles (PBE) data for a geometry-optimized ReB2PbO8 structure, as listed in the Alexandria database.

Summary:
* E: -7.3869 eV/atom
* DOS at the Fermi energy: 0.246 states/eV/atom
* size of the total moment: 1.02 μB/f.u.
* V: 12.1 Å³/atom

a = 4.727 Å, b = 4.727 Å, c = 7.192 Å
α = 90.55°, β = 90.55°, γ = 64.48°
Sites, in units of the cell vectors:
Re 0.000 0.000 0.000
B 0.354 0.354 0.220
B 0.646 0.646 0.780
Pb 0.000 0.000 0.500
O 0.220 0.220 0.076
O 0.222 0.698 0.187
O 0.294 0.294 0.405
O 0.302 0.778 0.813
O 0.698 0.222 0.187
O 0.706 0.706 0.595
O 0.778 0.302 0.813
O 0.780 0.780 0.924

(8)
First-principles (PBE) data for a geometry-optimized B2RhPb2O6 structure, as listed in the Alexandria database.

Summary:
* E: -6.7054 eV/atom
* DOS at the Fermi energy: 0.127 states/eV/atom
* size of the total moment: 0.98 μB/f.u.
* V: 12.6 Å³/atom

a = 6.535 Å, b = 6.535 Å, c = 6.535 Å
α = 47.43°, β = 47.43°, γ = 47.43°
Sites, in units of the cell vectors:
B 0.085 0.085 0.085
B 0.915 0.915 0.915
Rh 0.500 0.500 0.500
Pb 0.283 0.283 0.283
Pb 0.717 0.717 0.717
O 0.223 0.764 0.764
O 0.236 0.236 0.777
O 0.236 0.777 0.236
O 0.764 0.223 0.764
O 0.764 0.764 0.223
O 0.777 0.236 0.236

(9)
First-principles (PBE) data for a geometry-optimized BRuPbO6 structure, as listed in the Alexandria database.

Summary:
* E: -6.6698 eV/atom
* DOS at the Fermi energy: 0.061 states/eV/atom
* size of the total moment: 1.04 μB/f.u.
* V: 14.3 Å³/atom

a = 5.055 Å, b = 5.116 Å, c = 5.378 Å
α = 89.72°, β = 68.04°, γ = 88.21°
Sites, in units of the cell vectors:
B 0.000 0.000 0.000
Ru 0.862 0.913 0.498
Pb 0.516 0.437 0.107
O 0.157 0.126 0.119
O 0.190 0.749 0.453
O 0.603 0.692 0.699
O 0.646 0.189 0.484
O 0.869 0.774 0.140
O 0.918 0.111 0.804

(10)
First-principles (PBE) data for a geometry-optimized B2Pb6SO12 structure, as listed in the Alexandria database.

Summary:
* E: -6.3051 eV/atom
* DOS at the Fermi energy: 0.000 states/eV/atom
* size of the total moment: 0.00 μB/f.u.
* V: 17.2 Å³/atom

a = 6.630 Å, b = 11.890 Å, c = 18.366 Å
α = 90.00°, β = 90.00°, γ = 90.00°
Sites, in units of the cell vectors:
B 0.088 0.004 0.246
B 0.088 0.496 0.246
B 0.412 0.504 0.746
B 0.412 0.996 0.746
B 0.588 0.004 0.254
B 0.588 0.496 0.254
B 0.912 0.504 0.754
B 0.912 0.996 0.754
Pb 0.083 0.750 0.801
Pb 0.132 0.592 0.606
Pb 0.132 0.908 0.606
Pb 0.158 0.094 0.893
Pb 0.158 0.406 0.893
Pb 0.216 0.250 0.710
Pb 0.284 0.750 0.210
Pb 0.342 0.594 0.393
Pb 0.342 0.906 0.393
Pb 0.368 0.092 0.106
Pb 0.368 0.408 0.106
Pb 0.417 0.250 0.301
Pb 0.583 0.750 0.699
Pb 0.632 0.592 0.894
Pb 0.632 0.908 0.894
Pb 0.658 0.094 0.607
Pb 0.658 0.406 0.607
Pb 0.716 0.250 0.790
Pb 0.784 0.750 0.290
Pb 0.842 0.594 0.107
Pb 0.842 0.906 0.107
Pb 0.868 0.092 0.394
Pb 0.868 0.408 0.394
Pb 0.917 0.250 0.199
S 0.214 0.250 0.508
S 0.286 0.750 0.008
S 0.714 0.250 0.992
S 0.786 0.750 0.492
O 0.027 0.250 0.553
O 0.036 0.101 0.284
O 0.036 0.399 0.284
O 0.064 0.250 0.836
O 0.084 0.008 0.170
O 0.084 0.492 0.170
O 0.145 0.592 0.282
O 0.145 0.908 0.282
O 0.151 0.250 0.428
O 0.165 0.646 0.022
O 0.165 0.854 0.022
O 0.224 0.250 0.141
O 0.276 0.750 0.641
O 0.335 0.146 0.522
O 0.335 0.354 0.522
O 0.349 0.750 0.928
O 0.355 0.092 0.782
O 0.355 0.408 0.782
O 0.416 0.508 0.670
O 0.416 0.992 0.670
O 0.436 0.750 0.336
O 0.464 0.601 0.784
O 0.464 0.899 0.784
O 0.473 0.750 0.053
O 0.527 0.250 0.947
O 0.536 0.101 0.216
O 0.536 0.399 0.216
O 0.564 0.250 0.664
O 0.584 0.008 0.330
O 0.584 0.492 0.330
O 0.645 0.592 0.218
O 0.645 0.908 0.218
O 0.651 0.250 0.072
O 0.665 0.646 0.478
O 0.665 0.854 0.478
O 0.724 0.250 0.359
O 0.776 0.750 0.859
O 0.835 0.146 0.978
O 0.835 0.354 0.978
O 0.849 0.750 0.572
O 0.855 0.092 0.718
O 0.855 0.408 0.718
O 0.916 0.508 0.830
O 0.916 0.992 0.830
O 0.936 0.750 0.164
O 0.964 0.601 0.716
O 0.964 0.899 0.716
O 0.973 0.750 0.447

(11)
First-principles (PBE) data for a geometry-optimized ScBPbO4 structure, as listed in the Alexandria database.

Summary:
* E: -7.6237 eV/atom
* DOS at the Fermi energy: 0.000 states/eV/atom
* size of the total moment: 0.00 μB/f.u.
* V: 12.6 Å³/atom

a = 5.072 Å, b = 5.137 Å, c = 7.029 Å
α = 90.00°, β = 106.28°, γ = 90.00°
Sites, in units of the cell vectors:
Sc 0.221 0.250 0.059
Sc 0.779 0.750 0.941
B 0.241 0.750 0.845
B 0.759 0.250 0.155
Pb 0.296 0.250 0.621
Pb 0.704 0.750 0.379
O 0.056 0.519 0.817
O 0.056 0.981 0.817
O 0.417 0.750 0.708
O 0.423 0.750 0.054
O 0.577 0.250 0.946
O 0.583 0.250 0.292
O 0.944 0.019 0.183
O 0.944 0.481 0.183

(12)
First-principles (PBE) data for a geometry-optimized ScB2PbO6 structure, as listed in the Alexandria database.

Summary:
* E: -7.6201 eV/atom
* DOS at the Fermi energy: 0.097 states/eV/atom
* size of the total moment: 0.00 μB/f.u.
* V: 12.0 Å³/atom

a = 6.350 Å, b = 6.350 Å, c = 6.321 Å
α = 99.76°, β = 99.76°, γ = 102.55°
Sites, in units of the cell vectors:
Sc 0.078 0.922 0.750
Sc 0.922 0.078 0.250
B 0.099 0.409 0.737
B 0.409 0.099 0.237
B 0.591 0.901 0.763
B 0.901 0.591 0.263
Pb 0.390 0.610 0.250
Pb 0.610 0.390 0.750
O 0.008 0.424 0.255
O 0.013 0.199 0.603
O 0.199 0.013 0.103
O 0.302 0.445 0.878
O 0.424 0.008 0.755
O 0.445 0.302 0.378
O 0.555 0.698 0.622
O 0.576 0.992 0.245
O 0.698 0.555 0.122
O 0.801 0.987 0.897
O 0.987 0.801 0.397
O 0.992 0.576 0.745

(13)
First-principles (PBE) data for a geometry-optimized ScB2Pb2O6 structure, as listed in the Alexandria database.

Summary:
* E: -7.3382 eV/atom
* DOS at the Fermi energy: 0.206 states/eV/atom
* size of the total moment: 0.50 μB/f.u.
* V: 15.7 Å³/atom

a = 5.342 Å, b = 5.342 Å, c = 8.223 Å
α = 116.34°, β = 116.34°, γ = 58.83°
Sites, in units of the cell vectors:
Sc 0.000 0.000 0.000
B 0.396 0.396 0.174
B 0.604 0.604 0.826
Pb 0.179 0.179 0.712
Pb 0.821 0.821 0.288
O 0.234 0.696 0.168
O 0.261 0.261 0.202
O 0.304 0.766 0.832
O 0.696 0.234 0.168
O 0.739 0.739 0.798
O 0.766 0.304 0.832

(14)
First-principles (PBE) data for a geometry-optimized Sc3B4PbO12 structure, as listed in the Alexandria database.

Summary:
* E: -8.1287 eV/atom
* DOS at the Fermi energy: 0.220 states/eV/atom
* size of the total moment: 0.00 μB/f.u.
* V: 11.4 Å³/atom

a = 6.323 Å, b = 6.323 Å, c = 6.323 Å
α = 103.45°, β = 103.45°, γ = 103.45°
Sites, in units of the cell vectors:
Sc 0.000 0.549 0.451
Sc 0.451 0.000 0.549
Sc 0.549 0.451 0.000
B 0.047 0.500 0.953
B 0.500 0.500 0.500
B 0.500 0.953 0.047
B 0.953 0.047 0.500
Pb 0.000 0.000 0.000
O 0.034 0.624 0.799
O 0.092 0.908 0.500
O 0.201 0.376 0.966
O 0.360 0.640 0.500
O 0.376 0.966 0.201
O 0.500 0.092 0.908
O 0.500 0.360 0.640
O 0.624 0.799 0.034
O 0.640 0.500 0.360
O 0.799 0.034 0.624
O 0.908 0.500 0.092
O 0.966 0.201 0.376

(15)
First-principles (PBE) data for a geometry-optimized BPb2SeO structure, as listed in the Alexandria database.

Summary:
* E: -3.9647 eV/atom
* DOS at the Fermi energy: 0.345 states/eV/atom
* size of the total moment: 0.00 μB/f.u.
* V: 21.7 Å³/atom

a = 5.146 Å, b = 5.146 Å, c = 4.101 Å
α = 90.00°, β = 90.00°, γ = 90.00°
Sites, in units of the cell vectors:
B 0.000 0.000 0.000
Pb 0.000 0.500 0.000
Pb 0.500 0.000 0.000
Se 0.000 0.000 0.500
O 0.500 0.500 0.500

(16)
First-principles (PBE) data for a geometry-optimized B2PbSeO8 structure, as listed in the Alexandria database.

Summary:
* E: -6.1952 eV/atom
* DOS at the Fermi energy: 0.093 states/eV/atom
* size of the total moment: 0.00 μB/f.u.
* V: 10.3 Å³/atom

a = 4.477 Å, b = 4.477 Å, c = 6.600 Å
α = 91.13°, β = 91.13°, γ = 68.78°
Sites, in units of the cell vectors:
B 0.157 0.157 0.216
B 0.843 0.843 0.784
Pb 0.500 0.500 0.500
Se 0.500 0.500 0.000
O 0.215 0.723 0.794
O 0.224 0.224 0.421
O 0.264 0.264 0.038
O 0.277 0.785 0.206
O 0.723 0.215 0.794
O 0.736 0.736 0.962
O 0.776 0.776 0.579
O 0.785 0.277 0.206

(17)
First-principles (PBE) data for a geometry-optimized Si2BPbO6 structure, as listed in the Alexandria database.

Summary:
* E: -7.2767 eV/atom
* DOS at the Fermi energy: 0.038 states/eV/atom
* size of the total moment: 0.00 μB/f.u.
* V: 12.4 Å³/atom

a = 7.129 Å, b = 7.129 Å, c = 5.388 Å
α = 105.66°, β = 105.66°, γ = 96.28°
Sites, in units of the cell vectors:
Si 0.112 0.292 0.121
Si 0.292 0.112 0.621
Si 0.708 0.888 0.379
Si 0.888 0.708 0.879
B 0.252 0.748 0.250
B 0.748 0.252 0.750
Pb 0.421 0.579 0.750
Pb 0.579 0.421 0.250
O 0.128 0.775 0.003
O 0.187 0.221 0.396
O 0.195 0.532 0.230
O 0.221 0.187 0.896
O 0.225 0.872 0.497
O 0.468 0.805 0.270
O 0.532 0.195 0.730
O 0.775 0.128 0.503
O 0.779 0.813 0.104
O 0.805 0.468 0.770
O 0.813 0.779 0.604
O 0.872 0.225 0.997